1.
VASP calculation (PBE) on an optimized crystal structure of Tm3TeAsSe.

a b c (Å): 7.9913 7.9913 6.8394
angles (deg): 97.69 97.69 128.84
Fractional positions:
Tm  0.1683  0.3147  0.9980
Tm  0.2494  0.7506  0.7500
Tm  0.3147  0.1683  0.4980
Tm  0.6853  0.8317  0.5020
Tm  0.7506  0.2494  0.2500
Tm  0.8317  0.6853  0.0020
Te  0.2514  0.7486  0.2500
Te  0.7486  0.2514  0.7500
As  0.0622  0.9378  0.7500
As  0.9378  0.0622  0.2500
Se  0.4410  0.5590  0.7500
Se  0.5590  0.4410  0.2500

Calculated values
calculated volume: 323.5 Å³/cell
raw formation energy: -1248 meV/atom
crystal system: monoclinic
total DFT energy (no corrections): -64.35 eV per cell
Fermi-level density of states: 8.91 states/eV/cell

---

2.
VASP calculation (PBE) on an optimized crystal structure of Tm4Te2AsSe.

a b c (Å): 7.1470 4.1421 7.3622
angles (deg): 90.00 108.99 90.00
Fractional positions:
Tm  0.2328  0.0000  0.2140
Tm  0.2572  0.5000  0.7857
Tm  0.7428  0.5000  0.2143
Tm  0.7672  0.0000  0.7860
Te  0.0000  0.0000  0.5000
Te  0.5000  0.5000  0.5000
As  0.0000  0.5000  0.0000
Se  0.5000  0.0000  0.0000

Calculated values
calculated volume: 206.1 Å³/cell
raw formation energy: -1441 meV/atom
crystal system: monoclinic
total DFT energy (no corrections): -43.83 eV per cell
Fermi-level density of states: 2.86 states/eV/cell

---

3.
VASP calculation (PBE) on an optimized crystal structure of Tm6TeAs2Se3.

a b c (Å): 9.1273 9.1273 8.1803
angles (deg): 102.39 102.39 25.82
Fractional positions:
Tm  0.0069  0.0069  0.2746
Tm  0.3241  0.3241  0.8969
Tm  0.3294  0.3294  0.4232
Tm  0.6706  0.6706  0.5768
Tm  0.6759  0.6759  0.1031
Tm  0.9931  0.9931  0.7254
Te  0.5000  0.5000  0.0000
As  0.1675  0.1675  0.3346
As  0.8325  0.8325  0.6654
Se  0.1613  0.1613  0.8348
Se  0.5000  0.5000  0.5000
Se  0.8387  0.8387  0.1652

Calculated values
calculated volume: 289.6 Å³/cell
raw formation energy: -1571 meV/atom
crystal system: monoclinic
total DFT energy (no corrections): -68.57 eV per cell
Fermi-level density of states: 3.91 states/eV/cell

---

4.
VASP calculation (PBE) on an optimized crystal structure of Tm4TeAsSe2.

a b c (Å): 7.0493 4.0909 7.2030
angles (deg): 90.00 109.22 90.00
Fractional positions:
Tm  0.2345  0.0000  0.2204
Tm  0.2524  0.5000  0.7720
Tm  0.7476  0.5000  0.2280
Tm  0.7655  0.0000  0.7796
Te  0.5000  0.5000  0.5000
As  0.5000  0.0000  0.0000
Se  0.0000  0.0000  0.5000
Se  0.0000  0.5000  0.0000

Calculated values
calculated volume: 196.1 Å³/cell
raw formation energy: -1528 meV/atom
crystal system: monoclinic
total DFT energy (no corrections): -44.87 eV per cell
Fermi-level density of states: 3.30 states/eV/cell

---

5.
VASP calculation (PBE) on an optimized crystal structure of TeAs2WSe.

a b c (Å): 5.0429 5.0429 4.7466
angles (deg): 90.00 90.00 90.00
Fractional positions:
Te  0.0000  0.0000  0.0000
As  0.0000  0.5000  0.5000
As  0.5000  0.0000  0.5000
W  0.5000  0.5000  0.5000
Se  0.5000  0.5000  0.0000

Calculated values
calculated volume: 120.7 Å³/cell
raw formation energy: 445 meV/atom
crystal system: tetragonal
total DFT energy (no corrections): -26.65 eV per cell
Fermi-level density of states: 2.99 states/eV/cell

---

6.
VASP calculation (PBE) on an optimized crystal structure of Y4TeAsSe2.

a b c (Å): 7.1668 4.1513 7.3193
angles (deg): 90.00 109.17 90.00
Fractional positions:
Y  0.2361  0.0000  0.2222
Y  0.2527  0.5000  0.7709
Y  0.7473  0.5000  0.2291
Y  0.7639  0.0000  0.7778
Te  0.5000  0.5000  0.5000
As  0.5000  0.0000  0.0000
Se  0.0000  0.0000  0.5000
Se  0.0000  0.5000  0.0000

Calculated values
calculated volume: 205.7 Å³/cell
raw formation energy: -1628 meV/atom
crystal system: monoclinic
total DFT energy (no corrections): -53.64 eV per cell
Fermi-level density of states: 3.44 states/eV/cell

---

7.
VASP calculation (PBE) on an optimized crystal structure of Y4Te2AsSe.

a b c (Å): 7.2598 4.2001 7.4799
angles (deg): 90.00 108.92 90.00
Fractional positions:
Y  0.2333  0.0000  0.2157
Y  0.2563  0.5000  0.7839
Y  0.7437  0.5000  0.2161
Y  0.7667  0.0000  0.7843
Te  0.0000  0.0000  0.5000
Te  0.5000  0.5000  0.5000
As  0.0000  0.5000  0.0000
Se  0.5000  0.0000  0.0000

Calculated values
calculated volume: 215.8 Å³/cell
raw formation energy: -1546 meV/atom
crystal system: monoclinic
total DFT energy (no corrections): -52.64 eV per cell
Fermi-level density of states: 3.04 states/eV/cell

---

8.
VASP calculation (PBE) on an optimized crystal structure of YTeAsSe2.

a b c (Å): 5.3554 5.3554 5.6414
angles (deg): 90.00 90.00 90.00
Fractional positions:
Y  0.0000  0.0000  0.0000
Te  0.5000  0.5000  0.5000
As  0.0000  0.0000  0.5000
Se  0.0000  0.5000  0.0000
Se  0.5000  0.0000  0.0000

Calculated values
calculated volume: 161.8 Å³/cell
raw formation energy: 55 meV/atom
crystal system: tetragonal
total DFT energy (no corrections): -20.95 eV per cell
Fermi-level density of states: 7.53 states/eV/cell

---

9.
VASP calculation (PBE) on an optimized crystal structure of Y8Te4As3Se.

a b c (Å): 8.5853 8.5853 8.5853
angles (deg): 58.55 58.55 58.55
Fractional positions:
Y  0.2338  0.7417  0.7417
Y  0.2389  0.2389  0.2389
Y  0.2583  0.2583  0.7662
Y  0.2583  0.7662  0.2583
Y  0.7417  0.2338  0.7417
Y  0.7417  0.7417  0.2338
Y  0.7611  0.7611  0.7611
Y  0.7662  0.2583  0.2583
Te  0.0000  0.0000  0.0000
Te  0.0000  0.5000  0.5000
Te  0.5000  0.0000  0.5000
Te  0.5000  0.5000  0.0000
As  0.0000  0.0000  0.5000
As  0.0000  0.5000  0.0000
As  0.5000  0.0000  0.0000
Se  0.5000  0.5000  0.5000

Calculated values
calculated volume: 432.7 Å³/cell
raw formation energy: -1532 meV/atom
crystal system: trigonal
total DFT energy (no corrections): -106.23 eV per cell
Fermi-level density of states: 8.25 states/eV/cell

---

10.
VASP calculation (PBE) on an optimized crystal structure of YTeAsSe2.

a b c (Å): 5.2781 5.2781 5.2322
angles (deg): 90.00 90.00 90.00
Fractional positions:
Y  0.0000  0.0000  0.0000
Te  0.5000  0.5000  0.5000
As  0.5000  0.5000  0.0000
Se  0.0000  0.5000  0.5000
Se  0.5000  0.0000  0.5000

Calculated values
calculated volume: 145.8 Å³/cell
raw formation energy: 37 meV/atom
crystal system: tetragonal
total DFT energy (no corrections): -21.04 eV per cell
Fermi-level density of states: 2.12 states/eV/cell

---

11.
VASP calculation (PBE) on an optimized crystal structure of Y6Te2AsSe3.

a b c (Å): 7.2965 7.2965 7.2109
angles (deg): 99.64 99.64 120.09
Fractional positions:
Y  0.0862  0.3921  0.7626
Y  0.2134  0.2134  0.2264
Y  0.3921  0.0862  0.7626
Y  0.6079  0.9138  0.2374
Y  0.7866  0.7866  0.7736
Y  0.9138  0.6079  0.2374
Te  0.3363  0.6637  0.5000
Te  0.6637  0.3363  0.5000
As  0.0000  0.0000  0.5000
Se  0.1786  0.8214  0.0000
Se  0.5000  0.5000  0.0000
Se  0.8214  0.1786  0.0000

Calculated values
calculated volume: 312.9 Å³/cell
raw formation energy: -1603 meV/atom
crystal system: monoclinic
total DFT energy (no corrections): -79.41 eV per cell
Fermi-level density of states: 5.93 states/eV/cell

---

12.
VASP calculation (PBE) on an optimized crystal structure of Y8TeAs3Se4.

a b c (Å): 8.2656 8.2656 8.2656
angles (deg): 60.27 60.27 60.27
Fractional positions:
Y  0.2314  0.7583  0.7583
Y  0.2417  0.2417  0.7686
Y  0.2417  0.7686  0.2417
Y  0.2457  0.2457  0.2457
Y  0.7543  0.7543  0.7543
Y  0.7583  0.2314  0.7583
Y  0.7583  0.7583  0.2314
Y  0.7686  0.2417  0.2417
Te  0.5000  0.5000  0.5000
As  0.0000  0.0000  0.5000
As  0.0000  0.5000  0.0000
As  0.5000  0.0000  0.0000
Se  0.0000  0.0000  0.0000
Se  0.0000  0.5000  0.5000
Se  0.5000  0.0000  0.5000
Se  0.5000  0.5000  0.0000

Calculated values
calculated volume: 401.8 Å³/cell
raw formation energy: -1673 meV/atom
crystal system: trigonal
total DFT energy (no corrections): -109.52 eV per cell
Fermi-level density of states: 6.13 states/eV/cell

---

13.
VASP calculation (PBE) on an optimized crystal structure of ZnTeAs2Se.

a b c (Å): 5.3892 5.3892 5.3567
angles (deg): 90.00 90.00 90.00
Fractional positions:
Zn  0.0000  0.0000  0.0000
Te  0.5000  0.5000  0.5000
As  0.0000  0.5000  0.5000
As  0.5000  0.0000  0.5000
Se  0.5000  0.5000  0.0000

Calculated values
calculated volume: 155.6 Å³/cell
raw formation energy: 926 meV/atom
crystal system: tetragonal
total DFT energy (no corrections): -12.57 eV per cell
Fermi-level density of states: 5.00 states/eV/cell

---

14.
VASP calculation (PBE) on an optimized crystal structure of ZnTeAs2Se.

a b c (Å): 4.9370 4.9370 4.8130
angles (deg): 90.00 90.00 90.00
Fractional positions:
Zn  0.0000  0.0000  0.0000
Te  0.5000  0.5000  0.5000
As  0.0000  0.5000  0.0000
As  0.5000  0.0000  0.0000
Se  0.0000  0.0000  0.5000

Calculated values
calculated volume: 117.3 Å³/cell
raw formation energy: 573 meV/atom
crystal system: tetragonal
total DFT energy (no corrections): -14.33 eV per cell
Fermi-level density of states: 4.98 states/eV/cell

---

15.
VASP calculation (PBE) on an optimized crystal structure of ZrTeAs2Se.

a b c (Å): 5.3183 5.3183 5.0325
angles (deg): 90.00 90.00 90.00
Fractional positions:
Zr  0.0000  0.0000  0.0000
Te  0.5000  0.5000  0.5000
As  0.0000  0.5000  0.0000
As  0.5000  0.0000  0.0000
Se  0.0000  0.0000  0.5000

Calculated values
calculated volume: 142.3 Å³/cell
raw formation energy: 152 meV/atom
crystal system: tetragonal
total DFT energy (no corrections): -23.72 eV per cell
Fermi-level density of states: 5.89 states/eV/cell

---

16.
VASP calculation (PBE) on an optimized crystal structure of ZrTeAs2Se.

a b c (Å): 5.1834 5.1834 5.1778
angles (deg): 90.00 90.00 90.00
Fractional positions:
Zr  0.0000  0.0000  0.0000
Te  0.5000  0.5000  0.5000
As  0.0000  0.5000  0.5000
As  0.5000  0.0000  0.5000
Se  0.5000  0.5000  0.0000

Calculated values
calculated volume: 139.1 Å³/cell
raw formation energy: 825 meV/atom
crystal system: tetragonal
total DFT energy (no corrections): -20.35 eV per cell
Fermi-level density of states: 4.90 states/eV/cell

---

17.
VASP calculation (PBE) on an optimized crystal structure of Th5As4Se.

a b c (Å): 11.2123 11.2123 11.2123
angles (deg): 158.14 148.95 38.30
Fractional positions:
Th  0.0000  0.0000  0.0000
Th  0.1995  0.1995  0.0000
Th  0.3987  0.3987  0.0000
Th  0.6013  0.6013  0.0000
Th  0.8005  0.8005  0.0000
As  0.0997  0.5997  0.5000
As  0.2998  0.7998  0.5000
As  0.7002  0.2002  0.5000
As  0.9003  0.4003  0.5000
Se  0.5000  0.0000  0.5000

Calculated values
calculated volume: 270.3 Å³/cell
raw formation energy: -1430 meV/atom
crystal system: orthorhombic
total DFT energy (no corrections): -73.49 eV per cell
Fermi-level density of states: 8.20 states/eV/cell

---

18.
VASP calculation (PBE) on an optimized crystal structure of Th6As5Se.

a b c (Å): 7.3554 7.3554 7.3609
angles (deg): 99.61 99.61 120.08
Fractional positions:
Th  0.0786  0.4159  0.7474
Th  0.2469  0.2469  0.2519
Th  0.4159  0.0786  0.7474
Th  0.5841  0.9214  0.2526
Th  0.7531  0.7531  0.7481
Th  0.9214  0.5841  0.2526
As  0.0000  0.0000  0.5000
As  0.1667  0.8333  0.0000
As  0.3344  0.6656  0.5000
As  0.6656  0.3344  0.5000
As  0.8333  0.1667  0.0000
Se  0.5000  0.5000  0.0000

Calculated values
calculated volume: 324.8 Å³/cell
raw formation energy: -1432 meV/atom
crystal system: monoclinic
total DFT energy (no corrections): -88.44 eV per cell
Fermi-level density of states: 7.85 states/eV/cell

---

19.
VASP calculation (PBE) on an optimized crystal structure of Th4As3Se.

a b c (Å): 4.2530 6.0005 8.4613
angles (deg): 90.00 90.00 90.00
Fractional positions:
Th  0.0000  0.0000  0.0000
Th  0.0000  0.0000  0.5000
Th  0.5000  0.5000  0.2461
Th  0.5000  0.5000  0.7539
As  0.0000  0.5000  0.0000
As  0.5000  0.0000  0.2507
As  0.5000  0.0000  0.7493
Se  0.0000  0.5000  0.5000

Calculated values
calculated volume: 215.9 Å³/cell
raw formation energy: -1442 meV/atom
crystal system: orthorhombic
total DFT energy (no corrections): -58.65 eV per cell
Fermi-level density of states: 6.43 states/eV/cell

---

20.
VASP calculation (PBE) on an optimized crystal structure of Th3AsSe2.

a b c (Å): 7.3159 7.3159 7.3046
angles (deg): 99.60 99.60 119.95
Fractional positions:
Th  0.0000  0.5000  0.5000
Th  0.1638  0.3280  0.9998
Th  0.3280  0.1638  0.4998
Th  0.5000  0.0000  0.0000
Th  0.6720  0.8362  0.5002
Th  0.8362  0.6720  0.0002
As  0.0837  0.9163  0.7500
As  0.9163  0.0837  0.2500
Se  0.2500  0.7500  0.2500
Se  0.4167  0.5833  0.7500
Se  0.5833  0.4167  0.2500
Se  0.7500  0.2500  0.7500

Calculated values
calculated volume: 319.4 Å³/cell
raw formation energy: -1509 meV/atom
crystal system: monoclinic
total DFT energy (no corrections): -85.87 eV per cell
Fermi-level density of states: 9.27 states/eV/cell